This record from the Alexandria database describes a relaxed BaIn2Ir crystal. The functional is PBE-GGA.

Results
* DOS at the Fermi energy: 7.91 states/eV per cell
* E_tot: -17.3 eV/f.u.
* energy of formation: -0.26 eV per atom
* theoretical density: 8.09 g/cm3

```
data_BaIn2Ir
_chemical_formula_sum 'Ba3 In6 Ir3'
_cell_length_a 4.6374
_cell_length_b 4.6374
_cell_length_c 18.5007
_cell_angle_alpha 90.00
_cell_angle_beta 90.00
_cell_angle_gamma 120.00
_space_group_name_H-M_alt 'R -3 m'
_space_group_IT_number 166
_space_group_name_Hall '-R 3 2"'
loop_
_atom_site_label
_atom_site_fract_x
_atom_site_fract_y
_atom_site_fract_z
Ba1 0.0000 0.0000 0.0000
In1 0.0000 0.0000 0.2062
Ir1 0.0000 0.0000 0.5000
```


This record from the Alexandria database describes a relaxed BaIn3Ir crystal. The functional is PBE-GGA.

Results
* DOS at the Fermi energy: 0.74 states/eV per cell
* E_tot: -20.6 eV/f.u.
* energy of formation: -0.31 eV per atom
* theoretical density: 7.79 g/cm3

```
data_BaIn3Ir
_chemical_formula_sum 'Ba1 In3 Ir1'
_cell_length_a 5.237
_cell_length_b 5.237
_cell_length_c 5.237
_cell_angle_alpha 90.00
_cell_angle_beta 90.00
_cell_angle_gamma 90.00
_space_group_name_H-M_alt 'P m -3 m'
_space_group_IT_number 221
_space_group_name_Hall '-P 4 2 3'
loop_
_atom_site_label
_atom_site_fract_x
_atom_site_fract_y
_atom_site_fract_z
Ba1 0.000 0.000 0.000
In1 0.000 0.500 0.500
Ir1 0.500 0.500 0.500
```


This record from the Alexandria database describes a relaxed Ba8InIr2 crystal. The functional is PBE-GGA.

Results
* DOS at the Fermi energy: 8.91 states/eV per cell
* E_tot: -35.5 eV/f.u.
* energy of formation: 0.03 eV per atom
* theoretical density: 4.35 g/cm3

```
data_Ba8InIr2
_chemical_formula_sum 'Ba8 In1 Ir2'
_cell_length_a 10.4268
_cell_length_b 10.4268
_cell_length_c 6.4835
_cell_angle_alpha 90.00
_cell_angle_beta 90.00
_cell_angle_gamma 120.00
_space_group_name_H-M_alt 'P -3'
_space_group_IT_number 147
loop_
_space_group_symop_operation_xyz
'x,y,z'
'-x,-y,-z'
'-y,x-y,z'
'y,-x+y,-z'
'-x+y,-x,z'
'x-y,x,-z'
loop_
_atom_site_label
_atom_site_fract_x
_atom_site_fract_y
_atom_site_fract_z
Ba1 0.1720 0.3462 0.2439
Ba2 0.3333 0.6667 0.7481
In1 0.0000 0.0000 0.5000
Ir1 0.3333 0.6667 0.2631
```